Record 1
# Mg16Al12Bi | Alexandria | PBE-GGA | optimized geometry
data_Mg16Al12Bi
_chemical_formula_sum 'Mg32 Al24 Bi2'
_symmetry_space_group_name_H-M 'I -4 3 m'
_symmetry_Int_Tables_number 217
_symmetry_space_group_name_Hall 'I -4 2 3'
_cell_length_a 10.5943
_cell_length_b 10.5943
_cell_length_c 10.5943
_cell_angle_alpha 90.00
_cell_angle_beta 90.00
_cell_angle_gamma 90.00
loop_
_atom_site_label
_atom_site_type_symbol
_atom_site_fract_x
_atom_site_fract_y
_atom_site_fract_z
Mg1 Mg 0.0433 0.3587 0.3587
Mg2 Mg 0.1749 0.1749 0.8251
Al1 Al 0.0927 0.0927 0.2810
Bi1 Bi 0.0000 0.0000 0.0000
# - formation enthalpy at 0 K (meV per atom) = 13
# - excess energy over the best structure of this formula in the dataset (meV per atom) = 23.7
# - size of the total moment (μB per formula unit) = 0.000

Record 2
# Rb2Sc2AlSe6 | Alexandria | PBE-GGA | optimized geometry
data_Rb2Sc2AlSe6
_chemical_formula_sum 'Rb4 Sc4 Al2 Se12'
_symmetry_space_group_name_H-M 'C 1 2/m 1'
_symmetry_Int_Tables_number 12
_cell_length_a 6.6588
_cell_length_b 11.4963
_cell_length_c 8.6141
_cell_angle_alpha 90.00
_cell_angle_beta 105.70
_cell_angle_gamma 90.00
loop_
_symmetry_equiv_pos_as_xyz
'x,y,z'
'-x,-y,-z'
'-x,y,-z'
'x,-y,z'
'x+1/2,y+1/2,z'
'-x+1/2,-y+1/2,-z'
'-x+1/2,y+1/2,-z'
'x+1/2,-y+1/2,z'
loop_
_atom_site_label
_atom_site_type_symbol
_atom_site_fract_x
_atom_site_fract_y
_atom_site_fract_z
Rb1 Rb 0.0000 0.1702 0.0000
Sc1 Sc 0.0000 0.3322 0.5000
Al1 Al 0.0000 0.0000 0.5000
Se1 Se 0.2262 0.1593 0.6832
Se2 Se 0.2425 0.5000 0.6810
# - formation energy (no corrections) (meV/atom) = -1299
# - size of the total moment (μB per formula unit) = 0.000

Record 3
# Ba8Pd4I | Alexandria | PBE-GGA | optimized geometry
data_Ba8Pd4I
_chemical_formula_sum 'Ba16 Pd8 I2'
_symmetry_space_group_name_H-M 'C 1 m 1'
_symmetry_Int_Tables_number 8
_cell_length_a 22.6859
_cell_length_b 4.6960
_cell_length_c 16.1017
_cell_angle_alpha 90.00
_cell_angle_beta 134.31
_cell_angle_gamma 90.00
loop_
_symmetry_equiv_pos_as_xyz
'x,y,z'
'x,-y,z'
'x+1/2,y+1/2,z'
'x+1/2,-y+1/2,z'
loop_
_atom_site_label
_atom_site_type_symbol
_atom_site_fract_x
_atom_site_fract_y
_atom_site_fract_z
Ba1 Ba 0.0000 0.0000 0.0000
Ba2 Ba 0.0034 0.0000 0.2729
Ba3 Ba 0.0400 0.0000 0.7062
Ba4 Ba 0.1625 0.5000 0.6191
Ba5 Ba 0.1992 0.5000 0.0529
Ba6 Ba 0.2024 0.5000 0.3262
Ba7 Ba 0.3072 0.0000 0.9534
Ba8 Ba 0.3949 0.0000 0.3776
Pd1 Pd 0.0048 0.5000 0.1393
Pd2 Pd 0.0281 0.0000 0.4958
Pd3 Pd 0.1751 0.5000 0.8302
Pd4 Pd 0.1960 0.0000 0.1828
I1 I 0.3636 0.0000 0.5761
# - formation energy (no corrections) (meV/atom) = -557
# - size of the total moment (μB per formula unit) = 0.000